Entry A
This record from the Alexandria database describes a relaxed structure of CsTcSb2I. The functional is GGA-PBE.

a b c (Å): 5.180 5.180 6.406
angles (deg): 90.00 90.00 90.00
Atoms (fractional coordinates):
1 Cs 0.000 0.000 0.000
2 Tc 0.500 0.500 0.500
3 Sb 0.000 0.500 0.500
4 Sb 0.500 0.000 0.500
5 I 0.500 0.500 0.000

As for the total magnetic moment: 0.00 μB per formula unit.


Entry B
This record from the Alexandria database describes a relaxed structure of CsTcSb2I. The functional is GGA-PBE.

a b c (Å): 6.403 6.403 6.714
angles (deg): 90.00 90.00 90.00
Atoms (fractional coordinates):
1 Cs 0.000 0.000 0.000
2 Tc 0.500 0.500 0.500
3 Sb 0.000 0.500 0.000
4 Sb 0.500 0.000 0.000
5 I 0.000 0.000 0.500

As for the total magnetic moment: 3.34 μB per formula unit.


So which one is most stable? That would be entry A, about 1915 meV/atom below the next structure.


Entry A
This record from the Alexandria database describes a relaxed structure of CsTlSb2I. The functional is GGA-PBE.

a b c (Å): 6.547 6.547 7.018
angles (deg): 90.00 90.00 90.00
Atoms (fractional coordinates):
1 Cs 0.000 0.000 0.000
2 Tl 0.500 0.500 0.500
3 Sb 0.000 0.500 0.000
4 Sb 0.500 0.000 0.000
5 I 0.000 0.000 0.500

As for the total magnetic moment: 2.39 μB per formula unit.


Entry B
This record from the Alexandria database describes a relaxed structure of CsTlSb2I. The functional is GGA-PBE.

a b c (Å): 5.788 5.788 7.068
angles (deg): 90.00 90.00 90.00
Atoms (fractional coordinates):
1 Cs 0.000 0.000 0.000
2 Tl 0.500 0.500 0.500
3 Sb 0.000 0.500 0.500
4 Sb 0.500 0.000 0.500
5 I 0.500 0.500 0.000

As for the total magnetic moment: 1.31 μB per formula unit.


So which one is most stable? That would be entry B, about 682 meV/atom below the next structure.


Entry A
This record from the Alexandria database describes a relaxed structure of CsVSb2I. The functional is GGA-PBE.

a b c (Å): 5.192 5.192 6.522
angles (deg): 90.00 90.00 90.00
Atoms (fractional coordinates):
1 Cs 0.000 0.000 0.000
2 V 0.500 0.500 0.500
3 Sb 0.000 0.500 0.500
4 Sb 0.500 0.000 0.500
5 I 0.500 0.500 0.000

As for the total magnetic moment: 0.75 μB per formula unit.


Entry B
This record from the Alexandria database describes a relaxed structure of CsVSb2I. The functional is GGA-PBE.

a b c (Å): 6.078 6.078 6.436
angles (deg): 90.00 90.00 90.00
Atoms (fractional coordinates):
1 Cs 0.000 0.000 0.000
2 V 0.500 0.500 0.500
3 Sb 0.000 0.500 0.000
4 Sb 0.500 0.000 0.000
5 I 0.000 0.000 0.500

As for the total magnetic moment: 0.78 μB per formula unit.


So which one is most stable? That would be entry A, about 2080 meV/atom below the next structure.


Entry A
This record from the Alexandria database describes a relaxed structure of CsSb2WI. The functional is GGA-PBE.

a b c (Å): 6.438 6.438 6.688
angles (deg): 90.00 90.00 90.00
Atoms (fractional coordinates):
1 Cs 0.000 0.000 0.000
2 Sb 0.000 0.500 0.000
3 Sb 0.500 0.000 0.000
4 W 0.500 0.500 0.500
5 I 0.000 0.000 0.500

As for the total magnetic moment: 2.49 μB per formula unit.


Entry B
This record from the Alexandria database describes a relaxed structure of CsSb2WI. The functional is GGA-PBE.

a b c (Å): 5.269 5.269 6.368
angles (deg): 90.00 90.00 90.00
Atoms (fractional coordinates):
1 Cs 0.000 0.000 0.000
2 Sb 0.000 0.500 0.500
3 Sb 0.500 0.000 0.500
4 W 0.500 0.500 0.500
5 I 0.500 0.500 0.000

As for the total magnetic moment: 0.62 μB per formula unit.


So which one is most stable? That would be entry B, about 2123 meV/atom below the next structure.


Entry A
This record from the Alexandria database describes a relaxed structure of CsZnSbI2. The functional is GGA-PBE.

a b c (Å): 6.230 6.230 5.275
angles (deg): 90.00 90.00 90.00
Atoms (fractional coordinates):
1 Cs 0.000 0.000 0.000
2 Zn 0.500 0.500 0.500
3 Sb 0.500 0.500 0.000
4 I 0.000 0.500 0.500
5 I 0.500 0.000 0.500

As for the total magnetic moment: 1.72 μB per formula unit.


Entry B
This record from the Alexandria database describes a relaxed structure of CsZnSbI2. The functional is GGA-PBE.

a b c (Å): 7.397 7.397 8.513
angles (deg): 90.00 90.00 90.00
Atoms (fractional coordinates):
1 Cs 0.000 0.000 0.000
2 Zn 0.500 0.500 0.500
3 Sb 0.000 0.000 0.500
4 I 0.000 0.500 0.000
5 I 0.500 0.000 0.000

As for the total magnetic moment: 3.79 μB per formula unit.


So which one is most stable? That would be entry A, about 795 meV/atom below the next structure.


Entry A
This record from the Alexandria database describes a relaxed structure of CsZrSbI2. The functional is GGA-PBE.

a b c (Å): 6.007 6.007 5.614
angles (deg): 90.00 90.00 90.00
Atoms (fractional coordinates):
1 Cs 0.000 0.000 0.000
2 Zr 0.500 0.500 0.500
3 Sb 0.500 0.500 0.000
4 I 0.000 0.500 0.500
5 I 0.500 0.000 0.500

As for the total magnetic moment: 0.00 μB per formula unit.


Entry B
This record from the Alexandria database describes a relaxed structure of CsZrSbI2. The functional is GGA-PBE.

a b c (Å): 6.782 6.782 6.419
angles (deg): 90.00 90.00 90.00
Atoms (fractional coordinates):
1 Cs 0.000 0.000 0.000
2 Zr 0.500 0.500 0.500
3 Sb 0.000 0.000 0.500
4 I 0.000 0.500 0.000
5 I 0.500 0.000 0.000

As for the total magnetic moment: 1.00 μB per formula unit.


So which one is most stable? That would be entry A, about 1689 meV/atom below the next structure.


Entry A
This record from the Alexandria database describes a relaxed structure of CsSc3I. The functional is GGA-PBE.

a b c (Å): 5.620 5.620 5.620
angles (deg): 90.00 90.00 90.00
Atoms (fractional coordinates):
1 Cs 0.000 0.000 0.000
2 Sc 0.000 0.500 0.500
3 Sc 0.500 0.000 0.500
4 Sc 0.500 0.500 0.000
5 I 0.500 0.500 0.500

As for the total magnetic moment: 2.08 μB per formula unit.


Entry B
This record from the Alexandria database describes a relaxed structure of CsSc3I. The functional is GGA-PBE.

a b c (Å): 5.434 5.434 5.434
angles (deg): 90.00 90.00 90.00
Atoms (fractional coordinates):
1 Cs 0.000 0.000 0.000
2 Sc 0.000 0.000 0.500
3 Sc 0.000 0.500 0.000
4 Sc 0.500 0.000 0.000
5 I 0.500 0.500 0.500

As for the total magnetic moment: 0.00 μB per formula unit.


So which one is most stable? That would be entry A, about 757 meV/atom below the next structure.